1.
The following is a PBE calculation of an optimized crystal structure of KNaZrTe3, from OQMD via LeMat-Bulk.

The structure in POSCAR format:
```
KNaZrTe3
1.0
2.1574 -7.7768 0.0000
2.1574 7.7768 0.0000
0.0000 0.0000 11.6300
K Na Zr Te
2 2 2 6
direct
0.2440 0.7560 0.7500 K
0.7560 0.2440 0.2500 K
0.0541 0.9459 0.2500 Na
0.9459 0.0541 0.7500 Na
0.5000 0.5000 0.0000 Zr
0.5000 0.5000 0.5000 Zr
0.1309 0.8691 0.0260 Te
0.1309 0.8691 0.4740 Te
0.4335 0.5665 0.2500 Te
0.5665 0.4335 0.7500 Te
0.8691 0.1309 0.5260 Te
0.8691 0.1309 0.9740 Te
```

## Properties
Spin magnetization in μB/f.u.: 0.002
Excess energy over the best structure of this formula in the dataset in meV/atom: 130

---

2.
The following is a PBE calculation of an optimized crystal structure of SmTlPt, from OQMD via LeMat-Bulk.

The structure in POSCAR format:
```
SmTlPt
1.0
0.0000 3.4052 3.4052
3.4052 0.0000 3.4052
3.4052 3.4052 0.0000
Sm Tl Pt
1 1 1
direct
0.0000 0.0000 0.0000 Sm
0.7500 0.7500 0.7500 Tl
0.5000 0.5000 0.5000 Pt
```

## Properties
Electronic total energy in eV for the cell shown: -13.682
Spin magnetization in μB/f.u.: 0.081

---

- Which value of spin magnetization does entry 2 give?
  0.081 μB/f.u.

---

Copy entry 1 word for word.
The following is a PBE calculation of an optimized crystal structure of KNaZrTe3, from OQMD via LeMat-Bulk.

The structure in POSCAR format:
```
KNaZrTe3
1.0
2.1574 -7.7768 0.0000
2.1574 7.7768 0.0000
0.0000 0.0000 11.6300
K Na Zr Te
2 2 2 6
direct
0.2440 0.7560 0.7500 K
0.7560 0.2440 0.2500 K
0.0541 0.9459 0.2500 Na
0.9459 0.0541 0.7500 Na
0.5000 0.5000 0.0000 Zr
0.5000 0.5000 0.5000 Zr
0.1309 0.8691 0.0260 Te
0.1309 0.8691 0.4740 Te
0.4335 0.5665 0.2500 Te
0.5665 0.4335 0.7500 Te
0.8691 0.1309 0.5260 Te
0.8691 0.1309 0.9740 Te
```

## Properties
Spin magnetization in μB/f.u.: 0.002
Excess energy over the best structure of this formula in the dataset in meV/atom: 130

---

- Which value of spin magnetization does entry 1 give?
  0.002 μB/f.u.